1.
8
Lattice="9.381 0.000 0.000 0.000 9.381 0.000 4.691 4.691 2.628" Properties=species:S:1:pos:R:3 comment="SbMoBr2 (PBE-GGA, relaxed)" polymorph_energy_mev_per_atom=293 volume_a3_per_cell=231.28 formation_energy_uncorrected_mev_per_atom=194 total_magnetization_mub_per_cell=2.01 pbc="T T T"
Sb 0.000 0.000 0.000
Sb 9.381 4.691 1.314
Mo 4.691 4.691 0.000
Mo 4.691 9.381 1.314
Br 5.788 2.345 0.657
Br 3.593 7.036 0.657
Br 7.036 8.284 1.971
Br 11.727 10.479 1.971


2.
5
Lattice="-0.205 -1.729 -3.148 0.955 -3.066 1.622 -5.376 -3.632 0.290" Properties=species:S:1:pos:R:3 comment="HfCu2Tc2 (PBE-GGA, relaxed)" polymorph_energy_mev_per_atom=0 volume_a3_per_cell=77.34 delta_e_f_mev_per_atom=98 total_magnetization_mub_per_cell=0.00 pbc="T T T"
Hf 0.000 0.000 0.000
Tc -2.603 -3.880 -1.810
Tc -2.023 -4.548 0.575
Cu -0.725 -2.634 -0.562
Cu -3.901 -5.794 -0.674


3.
8
Lattice="-0.072 4.141 -4.744 -3.066 -1.369 -5.328 -4.779 2.775 -1.685" Properties=species:S:1:pos:R:3 comment="TbAl6Co (PBE-GGA, relaxed)" volume_a3_per_cell=154.21 delta_e_f_mev_per_atom=-65 total_magnetization_mub_per_cell=0.00 pbc="T T T"
Tb -3.959 2.774 -5.878
Al -6.530 4.625 -10.165
Al -6.499 2.879 -8.165
Al -2.681 0.346 -3.837
Al -1.419 2.668 -3.591
Al -1.388 0.923 -1.591
Al -5.237 5.202 -7.919
Co 0.000 0.000 0.000


4.
12
Lattice="-0.864 7.653 -0.251 0.377 2.866 7.148 6.797 2.158 2.935" Properties=species:S:1:pos:R:3 comment="K6HCl5 (PBE-GGA, relaxed)" volume_a3_per_cell=374.08 dft_energy_ev_per_atom=-3.256 total_magnetization_mub_per_cell=0.06 pbc="T T T"
K 1.563 6.712 1.337
K 2.199 4.273 5.148
K -0.118 2.532 1.648
K -0.368 7.987 5.248
K 4.111 8.404 4.683
K 4.747 5.965 8.494
H 0.000 0.000 0.000
Cl 4.145 5.741 3.024
Cl 2.390 1.674 3.361
Cl -0.243 5.260 3.448
Cl 4.784 3.349 6.722
Cl 2.165 6.936 6.808


5.
10
Lattice="-1.779 -2.332 1.753 2.915 -1.328 1.191 -0.664 10.655 13.499" Properties=species:S:1:pos:R:3 comment="NaLi5Hg4 (PBE-GGA, relaxed)" volume_a3_per_cell=200.96 delta_e_f_mev_per_atom=-300 total_magnetization_mub_per_cell=0.00 pbc="T T T"
Na 0.000 0.000 0.000
Li 0.477 -0.368 3.325
Li 0.360 1.508 5.702
Li 0.236 3.498 8.222
Li 0.112 5.487 10.742
Li -0.005 7.363 13.119
Hg -0.145 2.328 2.950
Hg -0.270 4.326 5.480
Hg -0.394 6.329 8.018
Hg -0.519 8.327 10.549


6.
4
Lattice="-1.668 -2.939 1.726 -1.051 -3.038 -2.017 1.869 -3.279 0.395" Properties=species:S:1:pos:R:3 comment="LiBeFe2 (PBE-GGA, relaxed)" volume_a3_per_cell=38.63 delta_e_f_mev_per_atom=159 total_magnetization_mub_per_cell=0.85 pbc="T T T"
Be -0.425 -4.628 0.052
Fe 0.000 0.000 0.000
Fe -0.638 -6.941 0.078
Li -0.213 -2.314 0.026